--- i ---
This record from the Alexandria database describes Li3Bi2P3O12 after structural relaxation. The functional is GGA-PBEsol.

POSCAR file:
```
Li3Bi2P3O12
1.0
-6.342 -5.005 2.779
-0.260 -7.885 -3.587
6.538 1.043 5.592
O Bi Li P
24 4 6 6
direct
0.087 0.418 0.253 O
0.452 0.647 0.131 O
0.423 0.099 0.729 O
0.691 0.416 0.546 O
0.923 0.271 0.901 O
0.077 0.729 0.099 O
0.249 0.386 0.899 O
0.952 0.869 0.353 O
0.577 0.901 0.271 O
0.913 0.582 0.747 O
0.413 0.253 0.418 O
0.048 0.131 0.647 O
0.949 0.067 0.208 O
0.551 0.208 0.067 O
0.449 0.792 0.933 O
0.309 0.584 0.454 O
0.751 0.614 0.101 O
0.251 0.899 0.386 O
0.587 0.747 0.582 O
0.809 0.546 0.416 O
0.051 0.933 0.792 O
0.749 0.101 0.614 O
0.548 0.353 0.869 O
0.191 0.454 0.584 O
0.183 0.661 0.873 Bi
0.317 0.873 0.661 Bi
0.817 0.339 0.127 Bi
0.683 0.127 0.339 Bi
0.906 0.674 0.351 Li
0.094 0.326 0.649 Li
0.594 0.351 0.674 Li
0.500 0.000 0.500 Li
0.406 0.649 0.326 Li
0.000 0.500 0.000 Li
0.250 0.425 0.425 P
0.943 0.107 0.740 P
0.443 0.260 0.893 P
0.557 0.740 0.107 P
0.057 0.893 0.260 P
0.750 0.575 0.575 P
```


--- ii ---
This record from the Alexandria database describes Li3Bi2P3O12 after structural relaxation. The functional is GGA-PBEsol.

POSCAR file:
```
Li3Bi2P3O12
1.0
-6.880 -5.371 1.087
-3.317 -4.347 -6.890
1.698 -9.470 -0.457
Bi P O Li
4 6 24 6
direct
0.342 0.342 0.975 Bi
0.848 0.848 0.457 Bi
0.152 0.152 0.543 Bi
0.658 0.658 0.025 Bi
0.568 0.947 0.233 P
0.748 0.432 0.767 P
0.252 0.568 0.233 P
0.947 0.252 0.233 P
0.432 0.053 0.767 P
0.053 0.748 0.767 P
0.499 0.853 0.182 O
0.183 0.423 0.378 O
0.248 0.183 0.729 O
0.423 0.016 0.378 O
0.466 0.499 0.182 O
0.183 0.840 0.729 O
0.534 0.501 0.818 O
0.601 0.117 0.083 O
0.399 0.883 0.917 O
0.160 0.752 0.271 O
0.117 0.200 0.083 O
0.853 0.466 0.182 O
0.016 0.183 0.378 O
0.577 0.984 0.622 O
0.501 0.147 0.818 O
0.200 0.601 0.083 O
0.800 0.399 0.917 O
0.883 0.800 0.917 O
0.984 0.817 0.622 O
0.817 0.577 0.622 O
0.817 0.160 0.271 O
0.840 0.248 0.729 O
0.752 0.817 0.271 O
0.147 0.534 0.818 O
0.737 0.063 0.864 Li
0.665 0.263 0.136 Li
0.335 0.737 0.864 Li
0.063 0.335 0.864 Li
0.263 0.937 0.136 Li
0.937 0.665 0.136 Li
```


The data favor ii; the next most stable structure lies 16 meV/atom above it.


--- i ---
This record from the Alexandria database describes LiSi3BiO8 after structural relaxation. The functional is GGA-PBEsol.

POSCAR file:
```
LiSi3BiO8
1.0
7.076 0.034 0.028
-1.196 7.253 0.013
-2.208 -3.389 6.573
O Si Bi Li
16 6 2 2
direct
0.295 0.695 0.304 O
0.666 0.756 0.942 O
0.248 0.932 0.638 O
0.315 0.579 0.583 O
0.848 0.338 0.139 O
0.729 0.336 0.682 O
0.745 0.056 0.323 O
0.623 0.392 0.365 O
0.041 0.075 0.866 O
0.692 0.662 0.249 O
0.170 0.733 0.958 O
0.381 0.073 0.334 O
0.436 0.293 0.973 O
0.161 0.279 0.658 O
0.019 0.894 0.244 O
0.626 0.900 0.654 O
0.214 0.144 0.783 Si
0.628 0.212 0.444 Si
0.652 0.411 0.168 Si
0.219 0.833 0.195 Si
0.381 0.784 0.554 Si
0.768 0.833 0.182 Si
0.115 0.278 0.362 Bi
0.845 0.735 0.746 Bi
0.336 0.577 0.831 Li
0.811 0.197 0.843 Li
```


--- ii ---
This record from the Alexandria database describes LiSi3BiO8 after structural relaxation. The functional is GGA-PBEsol.

POSCAR file:
```
LiSi3BiO8
1.0
7.637 0.053 -0.014
-3.237 6.918 -0.014
-0.979 -1.551 12.995
Li O Si Bi
4 32 12 4
direct
0.963 0.615 0.813 Li
0.615 0.963 0.313 Li
0.037 0.385 0.187 Li
0.385 0.037 0.687 Li
0.861 0.860 0.647 O
0.139 0.140 0.353 O
0.413 0.247 0.604 O
0.247 0.413 0.104 O
0.382 0.522 0.901 O
0.133 0.482 0.337 O
0.522 0.382 0.401 O
0.618 0.478 0.099 O
0.478 0.618 0.599 O
0.753 0.587 0.896 O
0.609 0.790 0.785 O
0.867 0.518 0.663 O
0.632 0.855 0.981 O
0.817 0.182 0.106 O
0.005 0.406 0.873 O
0.210 0.391 0.715 O
0.518 0.867 0.163 O
0.587 0.753 0.396 O
0.860 0.861 0.147 O
0.391 0.210 0.215 O
0.594 0.995 0.627 O
0.182 0.817 0.606 O
0.995 0.594 0.127 O
0.818 0.183 0.394 O
0.368 0.145 0.019 O
0.183 0.818 0.894 O
0.140 0.139 0.853 O
0.790 0.609 0.285 O
0.406 0.005 0.373 O
0.855 0.632 0.481 O
0.145 0.368 0.519 O
0.482 0.133 0.837 O
0.048 0.288 0.397 Si
0.642 0.822 0.667 Si
0.604 0.685 0.889 Si
0.712 0.952 0.103 Si
0.178 0.358 0.833 Si
0.358 0.178 0.333 Si
0.288 0.048 0.897 Si
0.952 0.712 0.603 Si
0.685 0.604 0.389 Si
0.822 0.642 0.167 Si
0.396 0.315 0.111 Si
0.315 0.396 0.611 Si
0.263 0.688 0.045 Bi
0.737 0.312 0.955 Bi
0.312 0.737 0.455 Bi
0.688 0.263 0.545 Bi
```


The data favor ii; the next most stable structure lies 26 meV/atom above it.